DFT (PBE) results for a relaxed structure of Nd8TlBi3Te4.

a b c (Å): 9.121 9.090 9.121
angles (deg): 120.11 120.00 90.00
Fractional coordinates of all 16 atoms:
1 Nd 0.246 0.745 0.999
2 Nd 0.246 0.745 0.492
3 Nd 0.251 0.253 0.502
4 Nd 0.753 0.745 0.999
5 Nd 0.247 0.255 0.001
6 Nd 0.749 0.747 0.498
7 Nd 0.754 0.255 0.508
8 Nd 0.754 0.255 0.001
9 Tl 0.000 0.500 0.000
10 Bi 0.500 0.500 0.000
11 Bi 0.500 0.500 0.500
12 Bi 0.000 0.500 0.500
13 Te 0.500 0.000 0.000
14 Te 0.500 0.000 0.500
15 Te 0.000 0.000 0.000
16 Te 0.000 0.000 0.500

Results
- Uncorrected formation energy: -18.19 eV/f.u.
- Total magnetic moment: 0.000 μB per cell

---

DFT (PBE) results for a relaxed structure of LiAl2W.

a b c (Å): 5.157 5.157 4.684
angles (deg): 70.76 70.76 31.60
Fractional coordinates of all 4 atoms:
1 Al 0.000 0.000 0.079
2 Al 0.745 0.745 0.683
3 Li 0.497 0.497 0.564
4 W 0.257 0.257 0.174

Results
- ΔE to the lowest computed polymorph: 59 meV per atom
- Total magnetic moment: 0.000 μB per cell

---

DFT (PBE) results for a relaxed structure of Y4Cl5.

a b c (Å): 6.922 6.922 6.922
angles (deg): 98.66 98.66 134.33
Fractional coordinates of all 9 atoms:
1 Y 0.308 0.000 0.308
2 Y 0.692 0.000 0.692
3 Y 0.000 0.692 0.692
4 Y 0.000 0.308 0.308
5 Cl 0.000 0.000 0.000
6 Cl 0.313 0.687 0.000
7 Cl 0.687 0.313 0.000
8 Cl 0.687 0.687 0.375
9 Cl 0.313 0.313 0.625

Results
- Uncorrected formation energy: -12.75 eV/f.u.
- Total magnetic moment: 0.000 μB per cell

---

DFT (PBE) results for a relaxed structure of MnTl2Rh.

a b c (Å): 4.841 4.841 4.841
angles (deg): 60.00 60.00 60.00
Fractional coordinates of all 4 atoms:
1 Mn 0.500 0.500 0.500
2 Rh 0.750 0.750 0.750
3 Tl 0.000 0.000 0.000
4 Tl 0.250 0.250 0.250

Results
- ΔE to the lowest computed polymorph: 241 meV per atom
- Total magnetic moment: 4.526 μB per cell

---

DFT (PBE) results for a relaxed structure of Cd2PAu.

a b c (Å): 6.488 6.488 4.926
angles (deg): 67.77 67.77 25.54
Fractional coordinates of all 4 atoms:
1 Au 0.770 0.770 0.731
2 Cd 0.038 0.038 0.961
3 Cd 0.227 0.227 0.274
4 P 0.465 0.465 0.535

Results
- Total energy: -2.5111 eV/atom
- Total magnetic moment: 0.000 μB per cell

---

DFT (PBE) results for a relaxed structure of TaAl2CrH.

a b c (Å): 5.230 4.373 5.230
angles (deg): 90.00 90.00 90.00
Fractional coordinates of all 5 atoms:
1 Cr 0.000 0.500 0.000
2 Al 0.000 0.000 0.500
3 Al 0.500 0.000 0.000
4 H 0.500 0.500 0.500
5 Ta 0.000 0.000 0.000

Results
- Total energy: -4.7580 eV/atom
- Total magnetic moment: 0.787 μB per cell

---

DFT (PBE) results for a relaxed structure of KRbMnI4.

a b c (Å): 8.123 8.340 10.088
angles (deg): 90.00 107.98 90.00
Fractional coordinates of all 14 atoms:
1 K 0.776 0.750 0.446
2 K 0.224 0.250 0.554
3 Rb 0.742 0.750 0.935
4 Rb 0.258 0.250 0.065
5 Mn 0.224 0.750 0.308
6 Mn 0.776 0.250 0.692
7 I 0.998 0.501 0.748
8 I 0.002 0.001 0.252
9 I 0.002 0.499 0.252
10 I 0.998 0.999 0.748
11 I 0.416 0.750 0.132
12 I 0.584 0.250 0.868
13 I 0.413 0.750 0.578
14 I 0.587 0.250 0.422

Results
- Uncorrected formation energy: -7.43 eV/f.u.
- Total magnetic moment: 10.000 μB per cell

---

DFT (PBE) results for a relaxed structure of ThPaGa.

a b c (Å): 3.285 3.285 7.405
angles (deg): 102.82 102.82 90.00
Fractional coordinates of all 3 atoms:
1 Pa 0.681 0.681 0.362
2 Th 0.990 0.990 0.980
3 Ga 0.329 0.329 0.658

Results
- ΔE to the lowest computed polymorph: 0 meV per atom
- Total magnetic moment: 0.000 μB per cell

---

DFT (PBE) results for a relaxed structure of Rb2InGe.

a b c (Å): 6.331 5.320 8.264
angles (deg): 129.96 112.54 89.97
Fractional coordinates of all 4 atoms:
1 Rb 0.167 0.890 0.334
2 Rb 0.833 0.627 0.666
3 In 0.500 0.259 0.000
4 Ge 0.500 0.759 0.000

Results
- ΔE to the lowest computed polymorph: 0 meV per atom
- Total magnetic moment: 0.000 μB per cell

---

DFT (PBE) results for a relaxed structure of Tb4Al3In.

a b c (Å): 3.799 4.544 11.836
angles (deg): 90.00 90.00 90.00
Fractional coordinates of all 8 atoms:
1 Tb 0.500 0.500 0.352
2 Tb 0.000 0.500 0.840
3 Tb 0.000 0.000 0.160
4 Tb 0.500 0.000 0.652
5 Al 0.000 0.500 0.568
6 Al 0.000 0.000 0.433
7 Al 0.500 0.000 0.925
8 In 0.500 0.500 0.070

Results
- ΔE to the lowest computed polymorph: 32 meV per atom
- Total magnetic moment: 0.867 μB per cell

---

DFT (PBE) results for a relaxed structure of Sr3HgSb.

a b c (Å): 7.311 9.582 10.918
angles (deg): 93.18 90.00 90.00
Fractional coordinates of all 20 atoms:
1 Sr 0.978 0.898 0.238
2 Sr 0.022 0.102 0.762
3 Sr 0.478 0.102 0.262
4 Sr 0.522 0.898 0.738
5 Sr 0.576 0.714 0.409
6 Sr 0.424 0.286 0.591
7 Sr 0.076 0.286 0.091
8 Sr 0.924 0.714 0.909
9 Sr 0.132 0.643 0.592
10 Sr 0.868 0.357 0.408
11 Sr 0.632 0.357 0.908
12 Sr 0.368 0.643 0.092
13 Hg 0.215 0.969 0.500
14 Hg 0.785 0.031 0.500
15 Hg 0.715 0.031 0.000
16 Hg 0.285 0.969 0.000
17 Sb 0.811 0.567 0.162
18 Sb 0.189 0.433 0.838
19 Sb 0.311 0.433 0.338
20 Sb 0.689 0.567 0.662

Results
- ΔE to the lowest computed polymorph: 0 meV per atom
- Uncorrected formation energy: -3.03 eV/f.u.
- Total magnetic moment: 0.000 μB per cell

---

DFT (PBE) results for a relaxed structure of Pu3Se2N2.

a b c (Å): 6.880 7.392 6.372
angles (deg): 90.00 66.12 90.00
Fractional coordinates of all 14 atoms:
1 Pu 0.500 0.500 0.000
2 Pu 0.000 0.000 0.000
3 Pu 0.754 0.122 0.589
4 Pu 0.746 0.622 0.411
5 Pu 0.254 0.378 0.589
6 Pu 0.246 0.878 0.411
7 Se 0.922 0.656 0.803
8 Se 0.422 0.844 0.803
9 Se 0.578 0.156 0.197
10 Se 0.078 0.344 0.197
11 N 0.557 0.393 0.671
12 N 0.943 0.893 0.329
13 N 0.057 0.107 0.671
14 N 0.443 0.607 0.329

Results
- ΔE to the lowest computed polymorph: 138 meV per atom
- Uncorrected formation energy: -8.88 eV/f.u.
- Total magnetic moment: 11.569 μB per cell

---

Repeat the first record exactly.
DFT (PBE) results for a relaxed structure of Nd8TlBi3Te4.

a b c (Å): 9.121 9.090 9.121
angles (deg): 120.11 120.00 90.00
Fractional coordinates of all 16 atoms:
1 Nd 0.246 0.745 0.999
2 Nd 0.246 0.745 0.492
3 Nd 0.251 0.253 0.502
4 Nd 0.753 0.745 0.999
5 Nd 0.247 0.255 0.001
6 Nd 0.749 0.747 0.498
7 Nd 0.754 0.255 0.508
8 Nd 0.754 0.255 0.001
9 Tl 0.000 0.500 0.000
10 Bi 0.500 0.500 0.000
11 Bi 0.500 0.500 0.500
12 Bi 0.000 0.500 0.500
13 Te 0.500 0.000 0.000
14 Te 0.500 0.000 0.500
15 Te 0.000 0.000 0.000
16 Te 0.000 0.000 0.500

Results
- Uncorrected formation energy: -18.19 eV/f.u.
- Total magnetic moment: 0.000 μB per cell